Below is AcCdIn2 after structural relaxation, with properties calculated at the PBE level.

```
data_AcCdIn2
_chemical_formula_sum 'Ac1 Cd1 In2'
_cell_length_a 4.8796
_cell_length_b 4.9183
_cell_length_c 4.9183
_cell_angle_alpha 90.00
_cell_angle_beta 90.00
_cell_angle_gamma 90.00
_symmetry_space_group_name_H-M 'P 1'
_symmetry_Int_Tables_number 1
loop_
_symmetry_equiv_pos_as_xyz
'x,y,z'
loop_
_atom_site_label
_atom_site_type_symbol
_atom_site_fract_x
_atom_site_fract_y
_atom_site_fract_z
Ac1 Ac 0.5000 0.5000 0.5000
Cd1 Cd 0.5000 0.0000 0.0000
In1 In 0.0000 0.0000 0.5000
In2 In 0.0000 0.5000 0.0000
```

Results
Density (g/cm3): 8.0
Volume (Å³/atom): 29.51
ΔE_f (eV per atom): -0.3185
Total DFT energy (no corrections) (eV/atom): -2.944
ΔE to the lowest computed polymorph (eV/atom): 0.055



Below is MgZnAu3 after structural relaxation, with properties calculated at the PBE level.

```
data_MgZnAu3
_chemical_formula_sum 'Mg3 Zn3 Au9'
_cell_length_a 6.4230
_cell_length_b 6.4230
_cell_length_c 6.4230
_cell_angle_alpha 90.00
_cell_angle_beta 90.00
_cell_angle_gamma 90.00
_symmetry_space_group_name_H-M 'P 1'
_symmetry_Int_Tables_number 1
loop_
_symmetry_equiv_pos_as_xyz
'x,y,z'
loop_
_atom_site_label
_atom_site_type_symbol
_atom_site_fract_x
_atom_site_fract_y
_atom_site_fract_z
Mg1 Mg 0.0000 0.5000 0.5000
Mg2 Mg 0.5000 0.0000 0.5000
Mg3 Mg 0.5000 0.5000 0.0000
Zn1 Zn 0.5000 0.0000 0.0000
Zn2 Zn 0.0000 0.5000 0.0000
Zn3 Zn 0.0000 0.0000 0.5000
Au1 Au 0.5000 0.5000 0.5000
Au2 Au 0.2328 0.2328 0.2328
Au3 Au 0.7672 0.7672 0.2328
Au4 Au 0.7672 0.2328 0.7672
Au5 Au 0.2328 0.7672 0.7672
Au6 Au 0.2328 0.2328 0.7672
Au7 Au 0.7672 0.7672 0.7672
Au8 Au 0.2328 0.7672 0.2328
Au9 Au 0.7672 0.2328 0.2328
```

Results
Density (g/cm3): 12.8
Volume (Å³/atom): 17.67
ΔE_f (eV per atom): -0.3386
Total DFT energy (no corrections) (eV/atom): -2.879
ΔE to the lowest computed polymorph (eV/atom): 0.022



Below is U4Mn7Si6 after structural relaxation, with properties calculated at the PBE level.

```
data_U4Mn7Si6
_chemical_formula_sum 'U4 Mn7 Si6'
_cell_length_a 6.8487
_cell_length_b 6.8487
_cell_length_c 6.8487
_cell_angle_alpha 109.47
_cell_angle_beta 109.47
_cell_angle_gamma 109.47
_symmetry_space_group_name_H-M 'P 1'
_symmetry_Int_Tables_number 1
loop_
_symmetry_equiv_pos_as_xyz
'x,y,z'
loop_
_atom_site_label
_atom_site_type_symbol
_atom_site_fract_x
_atom_site_fract_y
_atom_site_fract_z
U1 U 0.5000 0.0000 0.0000
U2 U 0.5000 0.5000 0.5000
U3 U 0.0000 0.5000 0.0000
U4 U 0.0000 0.0000 0.5000
Mn1 Mn 0.7500 0.5000 0.2500
Mn2 Mn 0.2500 0.7500 0.5000
Mn3 Mn 0.5000 0.7500 0.2500
Mn4 Mn 0.7500 0.2500 0.5000
Mn5 Mn 0.2500 0.5000 0.7500
Mn6 Mn 0.5000 0.2500 0.7500
Mn7 Mn 0.0000 0.0000 0.0000
Si1 Si 0.6822 0.0000 0.6822
Si2 Si 0.6822 0.6822 0.0000
Si3 Si 0.0000 0.3178 0.3178
Si4 Si 0.3178 0.0000 0.3178
Si5 Si 0.3178 0.3178 0.0000
Si6 Si 0.0000 0.6822 0.6822
```

Results
Density (g/cm3): 10.1
Volume (Å³/atom): 14.55
Total DFT energy (no corrections) (eV/atom): -8.790
Formation energy without anion corrections (meV per atom): -444